{"formula": "NdDy3Ir", "functional": "PBE", "state": "relaxed", "lattice": [[5.451, 0.000, 0.000], [0.000, 5.451, 0.000], [0.000, 0.000, 5.451]], "species": ["Dy", "Dy", "Dy", "Ir", "Nd"], "frac_coords": [[0.500, 0.000, 0.000], [0.000, 0.500, 0.000], [0.000, 0.000, 0.500], [0.000, 0.000, 0.000], [0.500, 0.500, 0.500]], "dos_ef_per_ev_cell": 7.7, "formation_enthalpy_0k_ev_per_atom": -0.289, "vol_a3_per_atom": 32.40, "e_above_lowest_polymorph_ev_per_atom": 0.063}